Entry 1:
Material: Tb3Mg2Cd4
Method: DFT, PBE-GGA
State: optimized geometry

Structure (CIF):
```
data_Tb3Mg2Cd4
_chemical_formula_sum 'Tb3 Mg2 Cd4'
_space_group_name_H-M_alt 'P 1'
_space_group_IT_number 1
_cell_length_a 6.0814
_cell_length_b 6.0814
_cell_length_c 9.3602
_cell_angle_alpha 118.22
_cell_angle_beta 118.22
_cell_angle_gamma 49.03
loop_
_space_group_symop_operation_xyz
'x,y,z'
loop_
_atom_site_label
_atom_site_type_symbol
_atom_site_fract_x
_atom_site_fract_y
_atom_site_fract_z
Tb1 Tb 0.0000 0.0000 0.0000
Tb2 Tb 0.3352 0.3352 0.3310
Tb3 Tb 0.6648 0.6648 0.6690
Mg1 Mg 0.3852 0.3852 0.7174
Mg2 Mg 0.6148 0.6148 0.2826
Cd1 Cd 0.0566 0.0566 0.3880
Cd2 Cd 0.2772 0.2772 0.9408
Cd3 Cd 0.7228 0.7228 0.0592
Cd4 Cd 0.9434 0.9434 0.6120
```

Computed properties:
DOS(E_F)	0.7353	states/eV/atom
DFT formation energy	-25.4	kJ per mole of atoms
SG	No. 12
electronic total energy	-23.105	eV per formula unit
magnetization	0.00	μB per cell

***

Entry 2:
Material: Tb4Mg5Cd
Method: DFT, PBE-GGA
State: optimized geometry

Structure (CIF):
```
data_Tb4Mg5Cd
_chemical_formula_sum 'Tb4 Mg5 Cd1'
_space_group_name_H-M_alt 'P 1'
_space_group_IT_number 1
_cell_length_a 8.3320
_cell_length_b 8.3320
_cell_length_c 6.5812
_cell_angle_alpha 104.86
_cell_angle_beta 104.86
_cell_angle_gamma 36.82
loop_
_space_group_symop_operation_xyz
'x,y,z'
loop_
_atom_site_label
_atom_site_type_symbol
_atom_site_fract_x
_atom_site_fract_y
_atom_site_fract_z
Tb1 Tb 0.0991 0.0991 0.3984
Tb2 Tb 0.3057 0.3057 0.1941
Tb3 Tb 0.6943 0.6943 0.8059
Tb4 Tb 0.9009 0.9009 0.6016
Mg1 Mg 0.0973 0.0973 0.9149
Mg2 Mg 0.3025 0.3025 0.7016
Mg3 Mg 0.5000 0.5000 0.0000
Mg4 Mg 0.6975 0.6975 0.2984
Mg5 Mg 0.9027 0.9027 0.0851
Cd1 Cd 0.5000 0.5000 0.5000
```

Computed properties:
DOS(E_F)	0.8843	states/eV/atom
DFT formation energy	-11.4	kJ per mole of atoms
SG	No. 12
electronic total energy	-28.591	eV per formula unit
magnetization	0.00	μB per cell

***

Entry 3:
Material: Tb3MgCd
Method: DFT, PBE-GGA
State: optimized geometry

Structure (CIF):
```
data_Tb3MgCd
_chemical_formula_sum 'Tb6 Mg2 Cd2'
_space_group_name_H-M_alt 'P 1'
_space_group_IT_number 1
_cell_length_a 10.6021
_cell_length_b 10.6021
_cell_length_c 5.2261
_cell_angle_alpha 90.00
_cell_angle_beta 90.00
_cell_angle_gamma 151.46
loop_
_space_group_symop_operation_xyz
'x,y,z'
loop_
_atom_site_label
_atom_site_type_symbol
_atom_site_fract_x
_atom_site_fract_y
_atom_site_fract_z
Tb1 Tb 0.0579 0.9421 0.7500
Tb2 Tb 0.2496 0.7504 0.7500
Tb3 Tb 0.4391 0.5609 0.7500
Tb4 Tb 0.5609 0.4391 0.2500
Tb5 Tb 0.7504 0.2496 0.2500
Tb6 Tb 0.9421 0.0579 0.2500
Mg1 Mg 0.1543 0.8457 0.2500
Mg2 Mg 0.8457 0.1543 0.7500
Cd1 Cd 0.3426 0.6574 0.2500
Cd2 Cd 0.6574 0.3426 0.7500
```

Computed properties:
DOS(E_F)	1.2380	states/eV/atom
DFT formation energy	-14.1	kJ per mole of atoms
SG	No. 63
electronic total energy	-17.131	eV per formula unit
magnetization	0.49	μB per cell

***

Entry 4:
Material: Tb2Mg3Cd2
Method: DFT, PBE-GGA
State: optimized geometry

Structure (CIF):
```
data_Tb2Mg3Cd2
_chemical_formula_sum 'Tb2 Mg3 Cd2'
_space_group_name_H-M_alt 'P 1'
_space_group_IT_number 1
_cell_length_a 11.1657
_cell_length_b 11.1657
_cell_length_c 3.3257
_cell_angle_alpha 90.00
_cell_angle_beta 90.00
_cell_angle_gamma 154.70
loop_
_space_group_symop_operation_xyz
'x,y,z'
loop_
_atom_site_label
_atom_site_type_symbol
_atom_site_fract_x
_atom_site_fract_y
_atom_site_fract_z
Tb1 Tb 0.1551 0.8449 0.0000
Tb2 Tb 0.8449 0.1551 0.0000
Mg1 Mg 0.0000 0.0000 0.0000
Mg2 Mg 0.4287 0.5713 0.5000
Mg3 Mg 0.5713 0.4287 0.5000
Cd1 Cd 0.2878 0.7122 0.5000
Cd2 Cd 0.7122 0.2878 0.5000
```

Computed properties:
DOS(E_F)	0.7664	states/eV/atom
DFT formation energy	-14.1	kJ per mole of atoms
SG	No. 65
electronic total energy	-16.895	eV per formula unit
magnetization	0.00	μB per cell

***

The highest electronic total energy belongs to which entry? Tb2Mg3Cd2

***

Number 4 is which compound? Tb2Mg3Cd2

***

Which formula does entry 2 have? Tb4Mg5Cd

***

Which value of magnetization does entry 3 give? 0.49 μB per cell